[1]
# Li2PrMg4

A geometry-optimized Li2PrMg4 structure (PBE-GGA, the Alexandria database).

Structure (extended XYZ):
```
14
Lattice="8.3150 0.0000 0.0000 0.0000 8.3150 0.0000 0.0000 0.0000 4.8397" Properties=species:S:1:pos:R:3 pbc="T T T"
Li 1.8379 1.8379 0.0000
Li 2.3196 5.9954 2.4199
Li 5.9954 2.3196 2.4199
Li 6.4772 6.4772 0.0000
Pr 0.0000 0.0000 2.4199
Pr 4.1575 4.1575 0.0000
Mg 0.7802 5.4344 0.0000
Mg 1.2769 3.3774 2.4199
Mg 2.8806 7.5349 0.0000
Mg 3.3774 1.2769 2.4199
Mg 4.9377 7.0381 2.4199
Mg 5.4344 0.7802 0.0000
Mg 7.0381 4.9377 2.4199
Mg 7.5349 2.8806 0.0000
```

Results
E_form	-0.0090	eV/atom
crystal system	tetragonal
SG	P4_2/mnm
DOS(E_F)	0.595	states/eV/atom

***

[2]
# Li5PrMg4

A geometry-optimized Li5PrMg4 structure (PBE-GGA, the Alexandria database).

Structure (extended XYZ):
```
10
Lattice="3.4933 0.0000 0.0000 0.0000 3.4933 0.0000 0.0000 0.0000 17.8562" Properties=species:S:1:pos:R:3 pbc="T T T"
Li 0.0000 0.0000 0.0000
Li 0.0000 0.0000 3.3162
Li 0.0000 0.0000 6.6101
Li 0.0000 0.0000 11.2461
Li 0.0000 0.0000 14.5400
Pr 1.7467 1.7467 8.9281
Mg 1.7467 1.7467 1.6692
Mg 1.7467 1.7467 5.0245
Mg 1.7467 1.7467 12.8317
Mg 1.7467 1.7467 16.1871
```

Results
E_form	-0.0142	eV/atom
crystal system	tetragonal
SG	P4/mmm
DOS(E_F)	0.626	states/eV/atom

***

[3]
# Li2Pr3Mg7

A geometry-optimized Li2Pr3Mg7 structure (PBE-GGA, the Alexandria database).

Structure (extended XYZ):
```
12
Lattice="3.0488 1.7602 9.7343 -3.0488 1.7602 9.7343 0.0000 -3.5204 9.7343" Properties=species:S:1:pos:R:3 pbc="T T T"
Li 0.0000 0.0000 4.8570
Li 0.0000 0.0000 24.3458
Pr 0.0000 0.0000 10.4921
Pr 0.0000 0.0000 14.6014
Pr 0.0000 0.0000 18.7107
Mg 0.0000 0.0000 0.0000
Mg 0.0000 -1.7472 7.1988
Mg -1.5131 0.8736 7.1988
Mg -1.5131 -0.8736 22.0040
Mg 1.5131 0.8736 7.1988
Mg 1.5131 -0.8736 22.0040
Mg 0.0000 1.7472 22.0040
```

Results
E_form	-0.0576	eV/atom
crystal system	trigonal
SG	R-3m
DOS(E_F)	1.084	states/eV/atom

***

[4]
# LiPr2Mg3

A geometry-optimized LiPr2Mg3 structure (PBE-GGA, the Alexandria database).

Structure (extended XYZ):
```
12
Lattice="6.1863 0.0000 0.0000 -3.0932 5.3575 0.0000 0.0000 0.0000 9.8283" Properties=species:S:1:pos:R:3 pbc="T T T"
Li 0.0000 0.0000 0.0000
Li 0.0000 0.0000 4.9142
Pr 0.0000 3.5717 0.7095
Pr 0.0000 3.5717 4.2047
Pr 3.0932 1.7858 5.6236
Pr 3.0932 1.7858 9.1189
Mg 0.0000 1.8051 7.3713
Mg -1.5299 4.4550 7.3713
Mg 1.5632 0.9025 2.4571
Mg 1.5299 4.4550 7.3713
Mg 4.6231 0.9025 2.4571
Mg 3.0932 3.5524 2.4571
```

Results
E_form	-0.0569	eV/atom
energy relative to the lowest polymorph listed for this composition	9	meV per atom
crystal system	hexagonal
SG	P6_3/mmc
DOS(E_F)	1.089	states/eV/atom

***

[5]
# LiPr2Mg4

A geometry-optimized LiPr2Mg4 structure (PBE-GGA, the Alexandria database).

Structure (extended XYZ):
```
7
Lattice="2.6646 1.5384 8.3701 -2.6646 1.5384 8.3701 0.0000 -3.0768 8.3701" Properties=species:S:1:pos:R:3 pbc="T T T"
Li 0.0000 0.0000 0.0000
Pr 0.0000 0.0000 6.3689
Pr 0.0000 0.0000 18.7414
Mg 0.0000 0.0000 3.0960
Mg 0.0000 0.0000 9.5482
Mg 0.0000 0.0000 15.5622
Mg 0.0000 0.0000 22.0144
```

Results
E_form	0.1798	eV/atom
crystal system	trigonal
SG	R-3m
DOS(E_F)	0.757	states/eV/atom

***

[6]
# LiPrMg14

A geometry-optimized LiPrMg14 structure (PBE-GGA, the Alexandria database).

Structure (extended XYZ):
```
16
Lattice="6.8838 0.0000 0.0000 0.0000 6.8838 0.0000 0.0000 0.0000 8.0310" Properties=species:S:1:pos:R:3 pbc="T T T"
Li 0.0000 0.0000 0.0000
Pr 3.4419 3.4419 0.0000
Mg 0.0000 0.0000 4.0155
Mg 0.0000 3.4419 0.0000
Mg 0.0000 3.4419 4.0155
Mg 1.6699 1.6699 2.0467
Mg 1.6699 1.6699 5.9844
Mg 1.6699 5.2138 2.0467
Mg 1.6699 5.2138 5.9844
Mg 3.4419 0.0000 0.0000
Mg 3.4419 0.0000 4.0155
Mg 3.4419 3.4419 4.0155
Mg 5.2138 1.6699 2.0467
Mg 5.2138 1.6699 5.9844
Mg 5.2138 5.2138 2.0467
Mg 5.2138 5.2138 5.9844
```

Results
E_form	-0.0144	eV/atom
crystal system	tetragonal
SG	P4/mmm
DOS(E_F)	0.370	states/eV/atom

***

[7]
# Li2PrMg

A geometry-optimized Li2PrMg structure (PBE-GGA, the Alexandria database).

Structure (extended XYZ):
```
4
Lattice="0.0000 3.6379 3.6379 3.6379 0.0000 3.6379 3.6379 3.6379 0.0000" Properties=species:S:1:pos:R:3 pbc="T T T"
Li 1.8190 1.8190 1.8190
Li 5.4569 5.4569 5.4569
Pr 0.0000 0.0000 0.0000
Mg 3.6379 3.6379 3.6379
```

Results
E_form	0.0230	eV/atom
energy relative to the lowest polymorph listed for this composition	0	meV per atom
crystal system	cubic
SG	Fm-3m
DOS(E_F)	1.352	states/eV/atom

***

[8]
# Li2PrMg6

A geometry-optimized Li2PrMg6 structure (PBE-GGA, the Alexandria database).

Structure (extended XYZ):
```
9
Lattice="4.7034 0.0000 0.0000 0.0000 4.7034 0.0000 0.0000 0.0000 9.7210" Properties=species:S:1:pos:R:3 pbc="T T T"
Li 0.0000 0.0000 1.2547
Li 0.0000 0.0000 8.4662
Pr 2.3517 2.3517 0.0000
Mg 0.0000 0.0000 4.8605
Mg 0.0000 2.3517 2.7651
Mg 0.0000 2.3517 6.9558
Mg 2.3517 0.0000 2.7651
Mg 2.3517 0.0000 6.9558
Mg 2.3517 2.3517 4.8605
```

Results
E_form	0.0021	eV/atom
crystal system	tetragonal
SG	P4/mmm
DOS(E_F)	0.838	states/eV/atom

***

[9]
# Li12PrMg6

A geometry-optimized Li12PrMg6 structure (PBE-GGA, the Alexandria database).

Structure (extended XYZ):
```
19
Lattice="5.9664 3.4447 3.4707 -5.9664 3.4447 3.4707 0.0000 -6.8895 3.4707" Properties=species:S:1:pos:R:3 pbc="T T T"
Li -2.3705 -2.7837 3.4707
Li -3.5960 -0.6610 3.4707
Li 0.0000 -1.8441 1.9398
Li -1.5970 0.9221 1.9398
Li 1.5970 0.9220 1.9398
Li -3.5960 0.6610 6.9413
Li -1.2255 3.4447 3.4707
Li -2.3705 2.7837 6.9413
Li 1.2255 3.4447 3.4707
Li -1.5970 -0.9221 8.4722
Li 1.5970 -0.9220 8.4722
Li 0.0000 1.8441 8.4722
Pr 0.0000 0.0000 5.2060
Mg -3.2206 -1.8594 6.0621
Mg 0.0000 -3.7188 4.3499
Mg -3.2206 1.8594 4.3499
Mg 3.2206 -1.8594 6.0621
Mg 0.0000 3.7188 6.0621
Mg 3.2206 1.8594 4.3499
```

Results
E_form	0.1112	eV/atom
crystal system	trigonal
SG	R-3m
DOS(E_F)	0.693	states/eV/atom

***

[10]
# LiPrMg11

A geometry-optimized LiPrMg11 structure (PBE-GGA, the Alexandria database).

Structure (extended XYZ):
```
13
Lattice="2.9147 -7.2705 0.0000 2.9147 7.2705 0.0000 -2.8148 0.0000 7.2819" Properties=species:S:1:pos:R:3 pbc="T T T"
Li 0.0000 0.0000 0.0000
Pr 1.5073 0.0000 3.6410
Mg 0.0500 3.6353 3.6410
Mg 1.5278 5.7371 2.0634
Mg 1.4624 2.5398 1.0628
Mg 1.4868 5.7371 5.2185
Mg 1.4624 -2.5398 1.0628
Mg 0.0500 -3.6353 3.6410
Mg 2.9147 0.0000 0.0000
Mg 1.5523 2.5398 6.2191
Mg 1.5278 -5.7371 2.0634
Mg 1.5523 -2.5398 6.2191
Mg 1.4868 -5.7371 5.2185
```

Results
E_form	-0.0531	eV/atom
crystal system	monoclinic
SG	C2/m
DOS(E_F)	0.604	states/eV/atom

***

[11]
# LiPr4Mg3

A geometry-optimized LiPr4Mg3 structure (PBE-GGA, the Alexandria database).

Structure (extended XYZ):
```
8
Lattice="2.7604 1.5937 9.0119 -2.7604 1.5937 9.0119 0.0000 -3.1874 9.0119" Properties=species:S:1:pos:R:3 pbc="T T T"
Li 0.0000 0.0000 0.0000
Pr 0.0000 0.0000 3.3532
Pr 0.0000 0.0000 10.1170
Pr 0.0000 0.0000 16.9187
Pr 0.0000 0.0000 23.6825
Mg 0.0000 0.0000 6.7219
Mg 0.0000 0.0000 13.5178
Mg 0.0000 0.0000 20.3137
```

Results
E_form	-0.0626	eV/atom
crystal system	trigonal
SG	R-3m
DOS(E_F)	0.978	states/eV/atom

***

[12]
# Li2Pr2Mg15

A geometry-optimized Li2Pr2Mg15 structure (PBE-GGA, the Alexandria database).

Structure (extended XYZ):
```
19
Lattice="5.1528 2.9750 5.0570 -5.1528 2.9750 5.0570 0.0000 -5.9499 5.0570" Properties=species:S:1:pos:R:3 pbc="T T T"
Li 0.0000 0.0000 1.4666
Li 0.0000 0.0000 13.7042
Pr 0.0000 0.0000 5.0457
Pr 0.0000 0.0000 10.1252
Mg -5.1528 0.0000 7.5854
Mg -1.5573 -3.2526 5.0570
Mg -2.5764 1.4875 2.5285
Mg -3.5955 0.2776 5.0570
Mg -2.5254 -1.4580 7.3647
Mg 1.5573 -3.2526 5.0570
Mg -2.0382 2.9750 5.0570
Mg 0.0000 -2.9161 7.8062
Mg -2.5254 1.4580 7.8062
Mg 2.5764 1.4875 2.5285
Mg 2.5254 -1.4580 7.3646
Mg 0.0000 2.9161 7.3646
Mg 3.5955 0.2776 5.0570
Mg 2.0381 2.9750 5.0570
Mg 2.5254 1.4580 7.8062
```

Results
E_form	-0.0514	eV/atom
crystal system	trigonal
SG	R-3m
DOS(E_F)	0.495	states/eV/atom

***

[13]
# Li2Pr3Mg9

A geometry-optimized Li2Pr3Mg9 structure (PBE-GGA, the Alexandria database).

Structure (extended XYZ):
```
14
Lattice="-2.5481 5.7104 6.2143 2.5481 -5.7104 6.2143 2.5481 5.7104 -6.2143" Properties=species:S:1:pos:R:3 pbc="T T T"
Li 0.0000 1.7960 0.0000
Li 0.0000 9.6247 0.0000
Pr 0.0000 0.0000 2.7040
Pr 0.0000 0.0000 6.2143
Pr 0.0000 0.0000 9.7246
Mg 2.5481 0.0000 0.0000
Mg 2.5481 2.5805 -1.7052
Mg 2.5481 -1.5120 4.5565
Mg 2.5481 2.5805 1.7052
Mg 2.5481 1.5120 4.5565
Mg 0.0000 4.1984 1.6578
Mg 0.0000 3.1298 4.5091
Mg 0.0000 7.2223 1.6578
Mg 0.0000 3.1298 7.9195
```

Results
E_form	-0.0336	eV/atom
crystal system	orthorhombic
SG	Immm
DOS(E_F)	0.810	states/eV/atom

***

[14]
# LiPr5Mg6

A geometry-optimized LiPr5Mg6 structure (PBE-GGA, the Alexandria database).

Structure (extended XYZ):
```
12
Lattice="8.6271 -3.8761 0.0000 8.6271 3.8761 0.0000 -1.7154 0.0000 5.1846" Properties=species:S:1:pos:R:3 pbc="T T T"
Li 0.0000 0.0000 0.0000
Pr 1.8759 0.0000 3.5028
Pr 5.1837 0.0000 1.7288
Pr 8.6271 0.0000 0.0000
Pr 10.3550 0.0000 3.4558
Pr 13.6628 0.0000 1.6818
Mg 4.4895 2.0793 4.3772
Mg 7.7694 2.1072 2.5923
Mg 11.0492 2.0793 0.8074
Mg 4.4895 -2.0793 4.3772
Mg 7.7694 -2.1072 2.5923
Mg 11.0492 -2.0793 0.8074
```

Results
E_form	-0.0726	eV/atom
crystal system	monoclinic
SG	C2/m
DOS(E_F)	1.058	states/eV/atom

***

[15]
# Li7PrMg5

A geometry-optimized Li7PrMg5 structure (PBE-GGA, the Alexandria database).

Structure (extended XYZ):
```
13
Lattice="-2.9576 5.0878 4.9558 2.9576 -5.0878 4.9558 2.9576 5.0878 -4.9558" Properties=species:S:1:pos:R:3 pbc="T T T"
Li 0.0000 0.0000 0.0000
Li 2.9576 -1.4620 1.5007
Li 2.9576 1.4620 1.5007
Li 0.0000 0.0000 2.9476
Li 0.0000 2.8475 1.5216
Li 2.9576 0.0000 4.4511
Li 0.0000 7.3282 1.5216
Pr 0.0000 0.0000 6.4513
Mg 1.4757 2.5924 -0.9553
Mg 1.4819 -2.4955 4.0006
Mg 1.4757 7.5833 -0.9553
Mg 1.4819 2.4955 4.0006
Mg 0.0000 5.0878 3.4827
```

Results
E_form	-0.0037	eV/atom
crystal system	orthorhombic
SG	Imm2
DOS(E_F)	0.564	states/eV/atom

***

[16]
# Li2PrMg

A geometry-optimized Li2PrMg structure (PBE-GGA, the Alexandria database).

Structure (extended XYZ):
```
4
Lattice="1.6846 0.9726 10.5100 -1.6846 0.9726 10.5100 0.0000 -1.9453 10.5100" Properties=species:S:1:pos:R:3 pbc="T T T"
Li 0.0000 0.0000 0.0000
Li 0.0000 0.0000 5.7148
Pr 0.0000 0.0000 23.8875
Mg 0.0000 0.0000 18.6133
```

Results
E_form	0.0927	eV/atom
energy relative to the lowest polymorph listed for this composition	70	meV per atom
crystal system	trigonal
SG	R3m
DOS(E_F)	0.886	states/eV/atom

***

[17]
# Li2PrMg

A geometry-optimized Li2PrMg structure (PBE-GGA, the Alexandria database).

Structure (extended XYZ):
```
4
Lattice="3.5860 0.0000 0.0000 0.0000 3.5860 0.0000 0.0000 0.0000 7.5417" Properties=species:S:1:pos:R:3 pbc="T T T"
Li 0.0000 0.0000 1.5547
Li 0.0000 0.0000 5.9869
Pr 1.7930 1.7930 3.7708
Mg 1.7930 1.7930 0.0000
```

Results
E_form	0.0427	eV/atom
energy relative to the lowest polymorph listed for this composition	20	meV per atom
crystal system	tetragonal
SG	P4/mmm
DOS(E_F)	0.827	states/eV/atom

***

[18]
# Li2PrMg

A geometry-optimized Li2PrMg structure (PBE-GGA, the Alexandria database).

Structure (extended XYZ):
```
4
Lattice="5.3309 0.0000 0.0000 0.0000 5.3309 0.0000 0.0000 0.0000 3.4270" Properties=species:S:1:pos:R:3 pbc="T T T"
Li 0.0000 2.6655 0.0000
Li 2.6655 0.0000 0.0000
Pr 0.0000 0.0000 1.7135
Mg 2.6655 2.6655 1.7135
```

Results
E_form	0.0924	eV/atom
energy relative to the lowest polymorph listed for this composition	69	meV per atom
crystal system	tetragonal
SG	P4/mmm
DOS(E_F)	1.004	states/eV/atom

***

[19]
# LiPrMg

A geometry-optimized LiPrMg structure (PBE-GGA, the Alexandria database).

Structure (extended XYZ):
```
3
Lattice="5.2726 0.0000 0.0000 -2.6363 4.5662 0.0000 0.0000 0.0000 3.3307" Properties=species:S:1:pos:R:3 pbc="T T T"
Li 0.0000 0.0000 0.0000
Pr 0.0000 3.0441 1.6653
Mg 2.6363 1.5221 0.0000
```

Results
E_form	-0.0263	eV/atom
energy relative to the lowest polymorph listed for this composition	0	meV per atom
crystal system	hexagonal
SG	P-6m2
DOS(E_F)	0.707	states/eV/atom

***

[20]
# LiPrMg

A geometry-optimized LiPrMg structure (PBE-GGA, the Alexandria database).

Structure (extended XYZ):
```
3
Lattice="-1.7335 1.7335 6.5877 1.7335 -1.7335 6.5877 1.7335 1.7335 -6.5877" Properties=species:S:1:pos:R:3 pbc="T T T"
Li 0.0000 0.0000 0.0000
Pr 0.0000 0.0000 9.0376
Mg 0.0000 0.0000 4.9066
```

Results
E_form	0.0314	eV/atom
energy relative to the lowest polymorph listed for this composition	58	meV per atom
crystal system	tetragonal
SG	I4mm
DOS(E_F)	1.363	states/eV/atom

***

[21]
# Li2PrMg9

A geometry-optimized Li2PrMg9 structure (PBE-GGA, the Alexandria database).

Structure (extended XYZ):
```
12
Lattice="9.9451 0.0000 0.0000 -4.9726 8.6127 0.0000 0.0000 0.0000 3.2828" Properties=species:S:1:pos:R:3 pbc="T T T"
Li 0.0000 5.7418 0.0000
Li 4.9726 2.8709 0.0000
Pr 0.0000 0.0000 0.0000
Mg -2.4863 4.3064 0.0000
Mg 0.0000 3.1319 1.6414
Mg -2.2603 7.0468 1.6414
Mg 2.7123 1.5659 1.6414
Mg 4.9726 0.0000 0.0000
Mg 2.4863 4.3064 0.0000
Mg 2.2603 7.0468 1.6414
Mg 7.2328 1.5659 1.6414
Mg 4.9726 5.4809 1.6414
```

Results
E_form	-0.0400	eV/atom
energy relative to the lowest polymorph listed for this composition	14	meV per atom
crystal system	hexagonal
SG	P6/mmm
DOS(E_F)	0.551	states/eV/atom

***

[22]
# Li3Pr2Mg2

A geometry-optimized Li3Pr2Mg2 structure (PBE-GGA, the Alexandria database).

Structure (extended XYZ):
```
7
Lattice="2.5835 -11.0646 0.0000 2.5835 11.0646 0.0000 0.0000 0.0000 3.3209" Properties=species:S:1:pos:R:3 pbc="T T T"
Li 0.0000 0.0000 0.0000
Li 2.5835 1.5080 1.6604
Li 2.5835 -1.5080 1.6604
Pr 2.5835 7.7202 0.0000
Pr 2.5835 -7.7202 0.0000
Mg 2.5835 4.7163 1.6604
Mg 2.5835 -4.7163 1.6604
```

Results
E_form	0.0277	eV/atom
crystal system	orthorhombic
SG	Cmmm
DOS(E_F)	0.732	states/eV/atom